1.
Material: NiP2AuO
Method: DFT, PBE with a Hubbard U
State: relaxed

The structure in POSCAR format:
```
NiP2AuO
1.0
4.6085 0.0000 0.0000
0.0000 4.6085 0.0000
0.0000 0.0000 3.4417
Au P O Ni
1 2 1 1
Cartesian
2.3043 2.3043 1.7209 Au
2.3043 0.0000 0.0000 P
0.0000 2.3043 0.0000 P
0.0000 0.0000 1.7209 O
0.0000 0.0000 0.0000 Ni
```

---

2.
Material: LaFeSeO2
Method: DFT, PBE with a Hubbard U
State: relaxed

The structure in POSCAR format:
```
LaFeSeO2
1.0
-2.2998 -2.0337 4.6143
4.8818 -2.3431 1.4004
-0.9092 6.1236 2.2458
O La Fe Se
4 2 2 2
Cartesian
0.0117 -1.5744 2.6404 O
2.5703 -2.8024 3.3744 O
3.7202 -1.7856 1.0672 O
1.1616 -0.5575 0.3332 O
-0.5857 2.1577 5.6518 La
2.2585 -0.4110 2.6087 La
2.2465 2.2512 7.1046 Fe
-0.5737 -0.5045 1.1559 Fe
0.1594 1.8657 2.5660 Se
1.5134 -0.1190 5.6945 Se
```

---

Summary of energy in eV per cell
-19.108, -66.436
(order as listed above)